(1)
The following is a DFT calculation (PBE-GGA) of an optimized crystal structure of RbCeTl2Cl8.

Cell lengths 6.9849, 6.7269, 9.3300 Å; angles 89.98, 89.99, 89.96 degrees
Closest atoms and distances in Å follow each position.
Sites, in units of the cell vectors:
Cl 0.1531 0.7769 0.2040  1 Ce 2.65
Cl 0.8469 0.2231 0.7960  1 Ce 2.65
Cl 0.6962 0.7627 0.9999  1 Ce 2.66
Cl 0.1534 0.7772 0.7961  1 Ce 2.65
Cl 0.3690 0.2849 0.5000  2 Tl 2.85
Cl 0.6310 0.7151 0.5000  2 Tl 2.85
Cl 0.3038 0.2373 0.0001  1 Ce 2.66
Cl 0.8466 0.2228 0.2039  1 Ce 2.65
Tl 0.5000 0.5001 0.2564  4 Cl 2.85-3.09
Tl 0.5000 0.4999 0.7436  4 Cl 2.85-3.09
Rb 0.0000 0.0000 0.5000  6 Cl 3.21-3.32
Ce 0.0000 0.0000 0.0000  6 Cl 2.65-2.66

Values from the calculation:
- energy relative to the elements, uncorrected (eV/atom) = -1.472
- ρ (g cm⁻³) = 3.477
- symmetry = No. 10
- raw total energy (eV per atom) = -3.672

(2)
The following is a DFT calculation (PBE-GGA) of an optimized crystal structure of GaAsPCl2.

Cell lengths 5.1635, 5.1635, 4.8512 Å; angles 90.00, 90.00, 90.00 degrees
Closest atoms and distances in Å follow each position.
Sites, in units of the cell vectors:
Ga 0.5000 0.5000 0.5000  8 Cl 3.54, 4 P 3.65
As 0.0000 0.0000 0.0000  2 P 2.43, 4 Cl 2.58
P 0.0000 0.0000 0.5000  2 As 2.43
Cl 0.5000 0.0000 0.0000  2 As 2.58
Cl 0.0000 0.5000 0.0000  2 As 2.58

Values from the calculation:
- energy relative to the elements, uncorrected (eV/atom) = 0.114
- ρ (g cm⁻³) = 3.165
- symmetry = No. 123
- raw total energy (eV per atom) = -3.242

(3)
The following is a DFT calculation (PBE-GGA) of an optimized crystal structure of MgRuRhO.

Cell lengths 2.7745, 2.7745, 13.6087 Å; angles 90.00, 90.00, 90.00 degrees
Closest atoms and distances in Å follow each position.
Sites, in units of the cell vectors:
Rh 0.5000 0.5000 0.9438  4 Ru 2.59, 4 Rh 2.77
Rh 0.0000 0.0000 0.4438  4 Ru 2.59, 4 Rh 2.77
O 0.5000 0.5000 0.1665  4 Mg 2.05, 1 Ru 2.08
O 0.0000 0.0000 0.6665  4 Mg 2.05, 1 Ru 2.08
Ru 0.5000 0.5000 0.3192  1 O 2.08
Ru 0.0000 0.0000 0.8192  1 O 2.08
Mg 0.5000 0.5000 0.6237  4 O 2.05
Mg 0.0000 0.0000 0.1237  4 O 2.05

Values from the calculation:
- energy relative to the elements, uncorrected (eV/atom) = -0.842
- ρ (g cm⁻³) = 7.745
- symmetry = No. 107
- raw total energy (eV per atom) = -6.637

(4)
The following is a DFT calculation (PBE-GGA) of an optimized crystal structure of AsRu2Pb.

Cell lengths 10.3955, 10.3955, 10.3955 Å; angles 16.53, 16.53, 16.53 degrees
Closest atoms and distances in Å follow each position.
Sites, in units of the cell vectors:
Pb 0.7343 0.7343 0.7343  6 Pb 2.99, 3 Ru 3.02
Ru 0.9868 0.9868 0.9868  9 Ru 2.69-2.99
Ru 0.2532 0.2532 0.2532  3 As 2.54, 3 Ru 2.69
As 0.5258 0.5258 0.5258  3 Ru 2.54

Values from the calculation:
- DFT formation energy (eV per formula unit) = 1.49
- ρ (g cm⁻³) = 10.139
- symmetry = No. 160
- raw total energy (eV per atom) = -6.356

(5)
The following is a DFT calculation (PBE-GGA) of an optimized crystal structure of In3Hg2Pb.

Cell lengths 3.7326, 3.7326, 11.8031 Å; angles 90.00, 90.00, 90.00 degrees
Closest atoms and distances in Å follow each position.
Sites, in units of the cell vectors:
Hg 0.5000 0.5000 0.8399  8 In 3.22-3.25
Hg 0.5000 0.5000 0.1601  8 In 3.22-3.25
In 0.0000 0.0000 0.3170  4 Hg 3.22, 4 Pb 3.41
In 0.0000 0.0000 0.0000  8 Hg 3.25
In 0.0000 0.0000 0.6830  4 Hg 3.22, 4 Pb 3.41
Pb 0.5000 0.5000 0.5000  8 In 3.41, 4 Pb 3.73

Values from the calculation:
- DFT formation energy (eV per formula unit) = 0.05
- ρ (g cm⁻³) = 9.622
- symmetry = No. 123
- raw total energy (eV per atom) = -2.079

(6)
The following is a DFT calculation (PBE-GGA) of an optimized crystal structure of La3Cd4.

Cell lengths 6.7486, 6.7486, 5.6468 Å; angles 90.00, 90.00, 120.00 degrees
Closest atoms and distances in Å follow each position.
Sites, in units of the cell vectors:
La 0.0000 0.5000 0.0000  4 La 3.37, 8 Cd 3.43-3.66
La 0.5000 0.5000 0.0000  4 La 3.37, 8 Cd 3.43-3.66
La 0.5000 0.0000 0.0000  4 La 3.37, 8 Cd 3.43-3.66
Cd 0.0000 0.0000 0.2525  2 Cd 2.80-2.85
Cd 0.0000 0.0000 0.7475  2 Cd 2.80-2.85
Cd 0.6667 0.3333 0.5000  6 La 3.43
Cd 0.3333 0.6667 0.5000  6 La 3.43

Values from the calculation:
- DFT formation energy (eV per formula unit) = -0.02
- ρ (g cm⁻³) = 6.459
- symmetry = No. 191
- raw total energy (eV per atom) = -2.637